DFT (GGA-PBEsol) results for a relaxed structure of FeIrRh3.

Properties
Spin magnetization   0.0 μB/f.u.
E_form   1.437 eV/atom

```
data_FeIrRh3
_chemical_formula_sum 'Fe1 Ir1 Rh3'
_cell_length_a 4.2659
_cell_length_b 4.2659
_cell_length_c 4.2659
_cell_angle_alpha 90.00
_cell_angle_beta 90.00
_cell_angle_gamma 90.00
_space_group_name_H-M_alt 'P m -3 m'
_space_group_IT_number 221
_space_group_name_Hall '-P 4 2 3'
loop_
_atom_site_label
_atom_site_type_symbol
_atom_site_fract_x
_atom_site_fract_y
_atom_site_fract_z
Fe1 Fe 0.0000 0.0000 0.0000
Ir1 Ir 0.5000 0.5000 0.5000
Rh1 Rh 0.0000 0.0000 0.5000
```